1.
The following is a DFT calculation (GGA-PBEsol) of crystalline Na5SrNbAs4 at its relaxed geometry.

```
Na5SrNbAs4
1.0
7.4783 0.0392 0.0000
0.0440 9.4781 0.0000
-0.0220 -4.7391 8.2065
Na As Sr Nb
10 8 2 2
Direct
0.3848 0.9374 0.4664 Na
0.3839 0.5380 0.0644 Na
0.8848 0.4710 0.5336 Na
0.2208 0.1335 0.2780 Na
0.7208 0.8556 0.7220 Na
0.6984 0.8479 0.1387 Na
0.2301 0.1474 0.8569 Na
0.1984 0.7092 0.8613 Na
0.8839 0.4736 0.9356 Na
0.7301 0.2904 0.1431 Na
0.1054 0.8118 0.6187 As
0.1120 0.3801 0.1902 As
0.6120 0.1899 0.8098 As
0.0936 0.8122 0.1916 As
0.6678 0.6707 0.3387 As
0.1678 0.3320 0.6613 As
0.6054 0.1931 0.3813 As
0.5936 0.6206 0.8084 As
0.3906 0.5316 0.4722 Sr
0.8906 0.0594 0.5278 Sr
0.4987 0.3325 0.6703 Nb
0.9987 0.6622 0.3297 Nb
```

Its crystal system is monoclinic. For the calculated density, the calculation gives 3.4 g cm⁻³. Its calculated formation energy is -0.583 eV/atom.



2.
The following is a DFT calculation (GGA-PBEsol) of crystalline Na5Ni9As7 at its relaxed geometry.

```
Na5Ni9As7
1.0
-3.5598 0.9161 1.3124
0.0420 -7.7649 5.5340
3.3652 8.2658 3.3576
Ni Na As
9 5 7
Direct
0.0000 0.2978 0.1227 Ni
0.0000 0.8249 0.7022 Ni
0.0000 0.8773 0.1751 Ni
0.0000 0.0413 0.6205 Ni
0.5000 0.6044 0.5575 Ni
0.5000 0.4425 0.0469 Ni
0.5000 0.9531 0.3956 Ni
0.0000 0.5792 0.9587 Ni
0.0000 0.3795 0.4208 Ni
0.0000 0.6667 0.3333 Na
0.5000 0.1161 0.2254 Na
0.5000 0.1093 0.8839 Na
0.5000 0.7746 0.8907 Na
0.5000 0.3333 0.6667 Na
0.0000 0.5735 0.6888 As
0.0000 0.0000 0.0000 As
0.5000 0.7165 0.1344 As
0.5000 0.4179 0.2835 As
0.0000 0.3112 0.8847 As
0.5000 0.8656 0.5821 As
0.0000 0.1153 0.4265 As
```

Its crystal system is hexagonal. For the calculated density, the calculation gives 6.3 g cm⁻³. Its calculated formation energy is -0.291 eV/atom.